VASP calculation (GGA-PBE) on an optimized crystal structure of Y2OsPt2. Values from VASP.

Values from the calculation:
calculated density = 12.2 Mg/m³
V = 102.8 Å³/f.u.
formation energy = -0.612 eV/atom
space-group type = P4/mbm, No. 127
E_tot = -7.860 eV/atom

Structure (Quantum ESPRESSO input):
```
&SYSTEM
  ibrav = 0, nat = 10, ntyp = 3
/
ATOMIC_SPECIES
Y 88.91 Y.upf
Os 190.23 Os.upf
Pt 195.08 Pt.upf
ATOMIC_POSITIONS crystal
Y 0.176 0.676 0.500
Y 0.676 0.824 0.500
Y 0.824 0.324 0.500
Y 0.324 0.176 0.500
Os 0.000 0.000 0.000
Os 0.500 0.500 0.000
Pt 0.366 0.866 0.000
Pt 0.866 0.634 0.000
Pt 0.634 0.134 0.000
Pt 0.134 0.366 0.000
CELL_PARAMETERS angstrom
7.087 0.000 0.000
0.000 7.087 0.000
0.000 0.000 4.093
```

---

VASP calculation (GGA-PBE) on an optimized crystal structure of YOs2Pt. Values from VASP.

Values from the calculation:
calculated density = 15.7 Mg/m³
V = 70.1 Å³/f.u.
formation energy = -0.098 eV/atom
space-group type = Pmm2, No. 25
E_tot = -8.839 eV/atom
polymorph energy (0 for the lowest one) = 0 meV/atom

Structure (Quantum ESPRESSO input):
```
&SYSTEM
  ibrav = 0, nat = 4, ntyp = 3
/
ATOMIC_SPECIES
Os 190.23 Os.upf
Pt 195.08 Pt.upf
Y 88.91 Y.upf
ATOMIC_POSITIONS crystal
Os 0.000 0.000 0.053
Os 0.500 0.500 0.217
Pt 0.000 0.000 0.486
Y 0.500 0.500 0.744
CELL_PARAMETERS angstrom
2.895 0.000 0.000
0.000 3.937 0.000
0.000 0.000 6.155
```

---

VASP calculation (GGA-PBE) on an optimized crystal structure of YOsPt2. Values from VASP.

Values from the calculation:
calculated density = 15.9 Mg/m³
V = 69.8 Å³/f.u.
formation energy = -0.324 eV/atom
space-group type = Pmm2, No. 25
E_tot = -7.768 eV/atom
polymorph energy (0 for the lowest one) = 82 meV/atom

Structure (Quantum ESPRESSO input):
```
&SYSTEM
  ibrav = 0, nat = 4, ntyp = 3
/
ATOMIC_SPECIES
Os 190.23 Os.upf
Pt 195.08 Pt.upf
Y 88.91 Y.upf
ATOMIC_POSITIONS crystal
Os 0.500 0.625 0.835
Pt 0.000 0.125 0.934
Pt 0.500 0.125 0.282
Y 0.000 0.625 0.449
CELL_PARAMETERS angstrom
-3.644 2.913 0.499
0.207 -0.240 2.913
3.176 3.955 0.102
```

---

VASP calculation (GGA-PBE) on an optimized crystal structure of YOs2Pt. Values from VASP.

Values from the calculation:
calculated density = 16.2 Mg/m³
V = 68.2 Å³/f.u.
formation energy = 0.297 eV/atom
space-group type = R3m, No. 160
E_tot = -8.444 eV/atom
polymorph energy (0 for the lowest one) = 395 meV/atom

Structure (Quantum ESPRESSO input):
```
&SYSTEM
  ibrav = 0, nat = 4, ntyp = 3
/
ATOMIC_SPECIES
Os 190.23 Os.upf
Pt 195.08 Pt.upf
Y 88.91 Y.upf
ATOMIC_POSITIONS crystal
Os 0.991 0.991 0.991
Os 0.253 0.253 0.253
Pt 0.506 0.506 0.506
Y 0.750 0.750 0.750
CELL_PARAMETERS angstrom
-4.611 2.403 8.242
-2.883 0.381 9.301
-1.944 3.074 9.041
```

---

VASP calculation (GGA-PBE) on an optimized crystal structure of Y2Os2Pt. Values from VASP.

Values from the calculation:
calculated density = 12.2 Mg/m³
V = 102.5 Å³/f.u.
formation energy = -0.338 eV/atom
space-group type = P4/mbm, No. 127
E_tot = -8.623 eV/atom
polymorph energy (0 for the lowest one) = 0 meV/atom

Structure (Quantum ESPRESSO input):
```
&SYSTEM
  ibrav = 0, nat = 10, ntyp = 3
/
ATOMIC_SPECIES
Y 88.91 Y.upf
Os 190.23 Os.upf
Pt 195.08 Pt.upf
ATOMIC_POSITIONS crystal
Y 0.180 0.680 0.500
Y 0.680 0.820 0.500
Y 0.820 0.320 0.500
Y 0.320 0.180 0.500
Os 0.378 0.878 0.000
Os 0.878 0.622 0.000
Os 0.622 0.122 0.000
Os 0.122 0.378 0.000
Pt 0.000 0.000 0.000
Pt 0.500 0.500 0.000
CELL_PARAMETERS angstrom
-4.634 -2.436 -4.439
-3.434 -2.910 5.182
-2.360 3.627 0.473
```

---

VASP calculation (GGA-PBE) on an optimized crystal structure of YOs2Pt. Values from VASP.

Values from the calculation:
calculated density = 15.9 Mg/m³
V = 69.5 Å³/f.u.
formation energy = 0.253 eV/atom
space-group type = F-43m, No. 216
E_tot = -8.488 eV/atom
polymorph energy (0 for the lowest one) = 351 meV/atom

Structure (Quantum ESPRESSO input):
```
&SYSTEM
  ibrav = 0, nat = 4, ntyp = 3
/
ATOMIC_SPECIES
Os 190.23 Os.upf
Pt 195.08 Pt.upf
Y 88.91 Y.upf
ATOMIC_POSITIONS crystal
Os 0.000 0.000 0.000
Os 0.250 0.250 0.250
Pt 0.500 0.500 0.500
Y 0.750 0.750 0.750
CELL_PARAMETERS angstrom
-0.108 4.062 2.186
-4.005 2.228 0.530
-1.926 0.320 4.180
```

---

VASP calculation (GGA-PBE) on an optimized crystal structure of YOs2Pt. Values from VASP.

Values from the calculation:
calculated density = 16.0 Mg/m³
V = 68.9 Å³/f.u.
formation energy = 0.324 eV/atom
space-group type = P4/mmm, No. 123
E_tot = -8.417 eV/atom
polymorph energy (0 for the lowest one) = 422 meV/atom

Structure (Quantum ESPRESSO input):
```
&SYSTEM
  ibrav = 0, nat = 4, ntyp = 3
/
ATOMIC_SPECIES
Os 190.23 Os.upf
Pt 195.08 Pt.upf
Y 88.91 Y.upf
ATOMIC_POSITIONS crystal
Os 0.000 0.000 0.029
Os 0.000 0.000 0.471
Pt 0.500 0.500 0.250
Y 0.500 0.500 0.750
CELL_PARAMETERS angstrom
-0.033 -1.789 -2.286
1.806 -1.803 1.384
-6.396 -3.959 3.191
```

---

VASP calculation (GGA-PBE) on an optimized crystal structure of YOsPt. Values from VASP.

Values from the calculation:
calculated density = 13.8 Mg/m³
V = 57.1 Å³/f.u.
formation energy = -0.067 eV/atom
space-group type = Imm2, No. 44
E_tot = -7.978 eV/atom
polymorph energy (0 for the lowest one) = 262 meV/atom

Structure (Quantum ESPRESSO input):
```
&SYSTEM
  ibrav = 0, nat = 3, ntyp = 3
/
ATOMIC_SPECIES
Os 190.23 Os.upf
Pt 195.08 Pt.upf
Y 88.91 Y.upf
ATOMIC_POSITIONS crystal
Os 0.969 0.969 0.000
Pt 0.367 0.367 0.000
Y 0.665 0.665 0.000
CELL_PARAMETERS angstrom
5.494 0.011 -0.012
3.236 4.440 0.012
-3.983 -2.975 2.339
```

---

VASP calculation (GGA-PBE) on an optimized crystal structure of YOs2Pt. Values from VASP.

Values from the calculation:
calculated density = 16.1 Mg/m³
V = 68.6 Å³/f.u.
formation energy = 0.172 eV/atom
space-group type = I4/mmm, No. 139
E_tot = -8.569 eV/atom
polymorph energy (0 for the lowest one) = 270 meV/atom

Structure (Quantum ESPRESSO input):
```
&SYSTEM
  ibrav = 0, nat = 4, ntyp = 3
/
ATOMIC_SPECIES
Os 190.23 Os.upf
Pt 195.08 Pt.upf
Y 88.91 Y.upf
ATOMIC_POSITIONS crystal
Os 0.000 0.000 0.000
Os 0.500 0.500 0.000
Pt 0.250 0.750 0.500
Y 0.750 0.250 0.500
CELL_PARAMETERS angstrom
5.107 0.002 0.000
1.939 4.725 0.000
-3.523 -2.363 2.843
```

---

VASP calculation (GGA-PBE) on an optimized crystal structure of YOsPt2. Values from VASP.

Values from the calculation:
calculated density = 15.8 Mg/m³
V = 70.2 Å³/f.u.
formation energy = -0.088 eV/atom
space-group type = P4mm, No. 99
E_tot = -7.531 eV/atom
polymorph energy (0 for the lowest one) = 318 meV/atom

Structure (Quantum ESPRESSO input):
```
&SYSTEM
  ibrav = 0, nat = 4, ntyp = 3
/
ATOMIC_SPECIES
Os 190.23 Os.upf
Pt 195.08 Pt.upf
Y 88.91 Y.upf
ATOMIC_POSITIONS crystal
Os 0.500 0.500 0.777
Pt 0.000 0.000 0.989
Pt 0.500 0.500 0.236
Y 0.000 0.000 0.498
CELL_PARAMETERS angstrom
2.927 0.006 0.000
-0.005 2.927 0.000
0.000 0.000 8.191
```

---

VASP calculation (GGA-PBE) on an optimized crystal structure of YOs2Pt. Values from VASP.

Values from the calculation:
calculated density = 15.2 Mg/m³
V = 72.7 Å³/f.u.
formation energy = 0.142 eV/atom
space-group type = P2/m, No. 10
E_tot = -8.599 eV/atom
polymorph energy (0 for the lowest one) = 240 meV/atom

Structure (Quantum ESPRESSO input):
```
&SYSTEM
  ibrav = 0, nat = 4, ntyp = 3
/
ATOMIC_SPECIES
Os 190.23 Os.upf
Pt 195.08 Pt.upf
Y 88.91 Y.upf
ATOMIC_POSITIONS crystal
Os 0.000 0.114 0.000
Os 0.000 0.386 0.500
Pt 0.500 0.250 0.250
Y 0.500 0.750 0.750
CELL_PARAMETERS angstrom
4.881 0.000 0.000
0.000 3.162 -0.009
0.000 0.342 4.708
```

---

VASP calculation (GGA-PBE) on an optimized crystal structure of YOsPt2. Values from VASP.

Values from the calculation:
calculated density = 15.8 Mg/m³
V = 70.5 Å³/f.u.
formation energy = -0.236 eV/atom
space-group type = I-4m2, No. 119
E_tot = -7.680 eV/atom
polymorph energy (0 for the lowest one) = 169 meV/atom

Structure (Quantum ESPRESSO input):
```
&SYSTEM
  ibrav = 0, nat = 4, ntyp = 3
/
ATOMIC_SPECIES
Os 190.23 Os.upf
Pt 195.08 Pt.upf
Y 88.91 Y.upf
ATOMIC_POSITIONS crystal
Os 0.750 0.250 0.500
Pt 0.000 0.000 0.000
Pt 0.250 0.750 0.500
Y 0.500 0.500 0.000
CELL_PARAMETERS angstrom
5.115 0.047 0.000
1.804 4.787 0.000
-3.460 -2.417 2.891
```

---

VASP calculation (GGA-PBE) on an optimized crystal structure of YOsPt. Values from VASP.

Values from the calculation:
calculated density = 14.3 Mg/m³
V = 54.9 Å³/f.u.
formation energy = -0.020 eV/atom
space-group type = I4mm, No. 107
E_tot = -7.932 eV/atom
polymorph energy (0 for the lowest one) = 308 meV/atom

Structure (Quantum ESPRESSO input):
```
&SYSTEM
  ibrav = 0, nat = 3, ntyp = 3
/
ATOMIC_SPECIES
Os 190.23 Os.upf
Pt 195.08 Pt.upf
Y 88.91 Y.upf
ATOMIC_POSITIONS crystal
Os 0.990 0.990 0.010
Pt 0.347 0.347 0.653
Y 0.664 0.664 0.336
CELL_PARAMETERS angstrom
-1.824 4.319 4.598
-2.133 1.703 5.973
2.519 0.490 1.499
```

---

VASP calculation (GGA-PBE) on an optimized crystal structure of YOsPt2. Values from VASP.

Values from the calculation:
calculated density = 14.3 Mg/m³
V = 77.8 Å³/f.u.
formation energy = 0.034 eV/atom
space-group type = I-42d, No. 122
E_tot = -7.410 eV/atom
polymorph energy (0 for the lowest one) = 439 meV/atom

Structure (Quantum ESPRESSO input):
```
&SYSTEM
  ibrav = 0, nat = 8, ntyp = 3
/
ATOMIC_SPECIES
Y 88.91 Y.upf
Os 190.23 Os.upf
Pt 195.08 Pt.upf
ATOMIC_POSITIONS crystal
Y 0.500 0.500 0.000
Y 0.250 0.750 0.500
Os 0.000 0.000 0.000
Os 0.750 0.250 0.500
Pt 0.657 0.125 0.250
Pt 0.093 0.625 0.250
Pt 0.375 0.343 0.750
Pt 0.875 0.907 0.750
CELL_PARAMETERS angstrom
-2.323 -0.568 3.323
1.819 -3.608 0.655
6.181 2.101 7.202
```

---

VASP calculation (GGA-PBE) on an optimized crystal structure of YOs2Pt. Values from VASP.

Values from the calculation:
calculated density = 16.0 Mg/m³
V = 69.1 Å³/f.u.
formation energy = 0.465 eV/atom
space-group type = Fm-3m, No. 225
E_tot = -8.276 eV/atom
polymorph energy (0 for the lowest one) = 563 meV/atom

Structure (Quantum ESPRESSO input):
```
&SYSTEM
  ibrav = 0, nat = 4, ntyp = 3
/
ATOMIC_SPECIES
Y 88.91 Y.upf
Os 190.23 Os.upf
Pt 195.08 Pt.upf
ATOMIC_POSITIONS crystal
Y 0.000 0.000 0.000
Os 0.250 0.250 0.250
Os 0.750 0.750 0.750
Pt 0.500 0.500 0.500
CELL_PARAMETERS angstrom
2.237 -3.044 2.634
-2.276 -3.544 1.864
0.736 -4.277 -1.542
```

---

VASP calculation (GGA-PBE) on an optimized crystal structure of YOs2Pt. Values from VASP.

Values from the calculation:
calculated density = 16.0 Mg/m³
V = 68.8 Å³/f.u.
formation energy = -0.076 eV/atom
space-group type = P4mm, No. 99
E_tot = -8.817 eV/atom
polymorph energy (0 for the lowest one) = 22 meV/atom

Structure (Quantum ESPRESSO input):
```
&SYSTEM
  ibrav = 0, nat = 4, ntyp = 3
/
ATOMIC_SPECIES
Os 190.23 Os.upf
Pt 195.08 Pt.upf
Y 88.91 Y.upf
ATOMIC_POSITIONS crystal
Os 0.000 0.000 0.035
Os 0.500 0.500 0.235
Pt 0.000 0.000 0.478
Y 0.500 0.500 0.752
CELL_PARAMETERS angstrom
-2.018 1.136 1.770
0.590 -2.049 1.988
5.606 4.817 3.301
```

---

VASP calculation (GGA-PBE) on an optimized crystal structure of YOs4Pt. Values from VASP.

Values from the calculation:
calculated density = 17.0 Mg/m³
V = 102.1 Å³/f.u.
formation energy = 0.215 eV/atom
space-group type = F-43m, No. 216
E_tot = -9.356 eV/atom

Structure (Quantum ESPRESSO input):
```
&SYSTEM
  ibrav = 0, nat = 6, ntyp = 3
/
ATOMIC_SPECIES
Y 88.91 Y.upf
Os 190.23 Os.upf
Pt 195.08 Pt.upf
ATOMIC_POSITIONS crystal
Y 0.000 0.000 0.000
Os 0.871 0.376 0.376
Os 0.376 0.376 0.871
Os 0.376 0.871 0.376
Os 0.376 0.376 0.376
Pt 0.750 0.750 0.750
CELL_PARAMETERS angstrom
0.000 3.709 3.709
3.709 0.000 3.709
3.709 3.709 0.000
```

---

VASP calculation (GGA-PBE) on an optimized crystal structure of YZnOsPt2. Values from VASP.

Values from the calculation:
calculated density = 9.8 Mg/m³
V = 124.4 Å³/f.u.
formation energy = 0.628 eV/atom
space-group type = P4/mmm, No. 123
E_tot = -5.582 eV/atom

Structure (Quantum ESPRESSO input):
```
&SYSTEM
  ibrav = 0, nat = 5, ntyp = 4
/
ATOMIC_SPECIES
Y 88.91 Y.upf
Zn 65.41 Zn.upf
Os 190.23 Os.upf
Pt 195.08 Pt.upf
ATOMIC_POSITIONS crystal
Y 0.000 0.500 0.000
Zn 0.500 0.500 0.500
Os 0.000 0.000 0.000
Pt 0.000 0.000 0.500
Pt 0.500 0.000 0.000
CELL_PARAMETERS angstrom
4.871 0.000 0.000
0.000 5.242 0.000
0.000 0.000 4.871
```

---

VASP calculation (GGA-PBE) on an optimized crystal structure of ZnOs3Pt. Values from VASP.

Values from the calculation:
calculated density = 15.9 Mg/m³
V = 86.6 Å³/f.u.
formation energy = 2.145 eV/atom
space-group type = Pm-3m, No. 221
E_tot = -6.056 eV/atom
polymorph energy (0 for the lowest one) = 0 meV/atom

Structure (Quantum ESPRESSO input):
```
&SYSTEM
  ibrav = 0, nat = 5, ntyp = 3
/
ATOMIC_SPECIES
Zn 65.41 Zn.upf
Os 190.23 Os.upf
Pt 195.08 Pt.upf
ATOMIC_POSITIONS crystal
Zn 0.000 0.000 0.000
Os 0.000 0.500 0.000
Os 0.000 0.000 0.500
Os 0.500 0.000 0.000
Pt 0.500 0.500 0.500
CELL_PARAMETERS angstrom
4.425 0.000 0.000
0.000 4.425 0.000
0.000 0.000 4.425
```

---

VASP calculation (GGA-PBE) on an optimized crystal structure of ZnOsPt3. Values from VASP.

Values from the calculation:
calculated density = 12.4 Mg/m³
V = 112.9 Å³/f.u.
formation energy = 1.279 eV/atom
space-group type = Pm-3m, No. 221
E_tot = -4.846 eV/atom
polymorph energy (0 for the lowest one) = 0 meV/atom

Structure (Quantum ESPRESSO input):
```
&SYSTEM
  ibrav = 0, nat = 5, ntyp = 3
/
ATOMIC_SPECIES
Zn 65.41 Zn.upf
Os 190.23 Os.upf
Pt 195.08 Pt.upf
ATOMIC_POSITIONS crystal
Zn 0.500 0.500 0.500
Os 0.000 0.000 0.000
Pt 0.000 0.500 0.000
Pt 0.000 0.000 0.500
Pt 0.500 0.000 0.000
CELL_PARAMETERS angstrom
4.833 0.000 0.000
0.000 4.833 0.000
0.000 0.000 4.833
```